Here is crystalline Ce2Be3SiPt4 at its relaxed geometry from Alexandria. Energies are from PBE.

Structure (CIF):
```
data_Ce2Be3SiPt4
_chemical_formula_sum 'Ce2 Be3 Si1 Pt4'
_space_group_name_H-M_alt 'P -4 m 2'
_space_group_IT_number 115
_space_group_name_Hall 'P -4 -2'
_cell_length_a 4.101
_cell_length_b 4.101
_cell_length_c 9.690
_cell_angle_alpha 90.00
_cell_angle_beta 90.00
_cell_angle_gamma 90.00
loop_
_atom_site_label
_atom_site_fract_x
_atom_site_fract_y
_atom_site_fract_z
Ce1 0.000 0.500 0.248
Be1 0.000 0.000 0.000
Be2 0.000 0.500 0.622
Si1 0.500 0.500 0.000
Pt1 0.000 0.000 0.500
Pt2 0.000 0.500 0.867
Pt3 0.500 0.500 0.500
```

## Properties
Theoretical density, g cm⁻³: 11.37
V, Å³/cell: 163.0
Formation energy (no corrections), eV/atom: -0.910